DFT (GGA+U) results for a relaxed LiMnF3 crystal.

Lattice parameters (Å, degrees): 3.0576 9.8616 7.6998 90.00 90.00 90.00
Space group Cmcm (No. 63)
Asymmetric unit:
Li 0.0000 0.2405 0.2500 x4
Mn 0.0000 0.5000 0.0000 x4
F 0.0000 0.1362 0.5766 x8
F 0.0000 0.3949 0.7500 x4

The value obtained for the total energy is -5.695 eV/atom. For the density of states at the Fermi level, the calculation gives 0.0 states/eV/f.u. Its energy above the most stable polymorph in this dataset is 0.078 eV per atom.